--- a ---
VASP calculation (GGA-PBE) on a relaxed HfSiBr2 crystal.

Cell lengths 7.3165, 7.3165, 7.3165 Å; angles 97.42, 97.42, 137.88 degrees
With the nearest neighbours (Å) after each atom.
Element x y z (fractional)
Hf1 0.0000 0.0000 0.0000  2 Si 2.63, 4 Br 2.70
Hf2 0.7500 0.2500 0.5000  2 Si 2.63, 4 Br 2.70
Si1 0.2500 0.7500 0.5000  2 Hf 2.63
Si2 0.5000 0.5000 0.0000  2 Hf 2.63
Br1 0.3750 0.2288 0.3538  2 Hf 2.70
Br2 0.7712 0.1250 0.1462  2 Hf 2.70
Br3 0.8750 0.0212 0.6462  2 Hf 2.70
Br4 0.9788 0.6250 0.8538  2 Hf 2.70

Values from the calculation:
volume: 245.1 Å³/cell


--- b ---
VASP calculation (GGA-PBE) on a relaxed HfSiBr2 crystal.

Cell lengths 4.8354, 4.8354, 4.8354 Å; angles 60.00, 60.00, 60.00 degrees
With the nearest neighbours (Å) after each atom.
Element x y z (fractional)
Hf1 0.0000 0.0000 0.0000  8 Br 2.96
Si1 0.5000 0.5000 0.5000  8 Br 2.96
Br1 0.2500 0.2500 0.2500  4 Hf 2.96, 4 Si 2.96
Br2 0.7500 0.7500 0.7500  4 Hf 2.96, 4 Si 2.96

Values from the calculation:
volume: 79.9 Å³/cell


--- c ---
VASP calculation (GGA-PBE) on a relaxed HfSiBr2 crystal.

Cell lengths 10.2334, 10.2334, 10.2334 Å; angles 18.71, 18.71, 18.71 degrees
With the nearest neighbours (Å) after each atom.
Element x y z (fractional)
Hf1 0.0000 0.0000 0.0000  6 Br 2.75
Si1 0.5000 0.5000 0.5000  2 Br 3.06, 6 Si 3.33
Br1 0.3985 0.3985 0.3985  3 Hf 2.75, 1 Si 3.06
Br2 0.6015 0.6015 0.6015  3 Hf 2.75, 1 Si 3.06

Values from the calculation:
volume: 96.3 Å³/cell


c has the most favorable energy; the next structure is 8.1 kJ/mol of atoms above.


--- a ---
VASP calculation (GGA-PBE) on a relaxed HfSn3Br crystal.

Cell lengths 5.3849, 5.3849, 5.3849 Å; angles 90.00, 90.00, 90.00 degrees
With the nearest neighbours (Å) after each atom.
Element x y z (fractional)
Hf1 0.0000 0.0000 0.0000  12 Sn 3.81
Sn1 0.0000 0.5000 0.5000  2 Br 2.69
Sn2 0.5000 0.0000 0.5000  2 Br 2.69
Sn3 0.5000 0.5000 0.0000  2 Br 2.69
Br1 0.5000 0.5000 0.5000  6 Sn 2.69

Values from the calculation:
volume: 156.1 Å³/cell


--- b ---
VASP calculation (GGA-PBE) on a relaxed HfSn3Br crystal.

Cell lengths 5.6156, 5.6156, 5.6156 Å; angles 90.00, 90.00, 90.00 degrees
With the nearest neighbours (Å) after each atom.
Element x y z (fractional)
Hf1 0.0000 0.0000 0.0000  6 Sn 2.81
Sn1 0.0000 0.0000 0.5000  2 Hf 2.81
Sn2 0.0000 0.5000 0.0000  2 Hf 2.81
Sn3 0.5000 0.0000 0.0000  2 Hf 2.81
Br1 0.5000 0.5000 0.5000  12 Sn 3.97

Values from the calculation:
volume: 177.1 Å³/cell


b has the most favorable energy; the next structure is 62.7 kJ/mol of atoms above.


--- a ---
VASP calculation (GGA-PBE) on a relaxed HfSn2Br crystal.

Cell lengths 11.6947, 11.6947, 11.6947 Å; angles 159.04, 159.04, 29.81 degrees
With the nearest neighbours (Å) after each atom.
Element x y z (fractional)
Hf1 0.0000 0.0000 0.0000  4 Br 3.01, 4 Sn 3.18
Hf2 0.7500 0.2500 0.5000  4 Br 3.01, 4 Sn 3.18
Sn1 0.1112 0.6250 0.9862  4 Sn 2.93-3.09, 2 Hf 3.18, 2 Br 3.22
Sn2 0.3750 0.3612 0.4862  4 Sn 2.93-3.09, 2 Hf 3.18, 2 Br 3.22
Sn3 0.6388 0.1250 0.0138  4 Sn 2.93-3.09, 2 Hf 3.18, 2 Br 3.22
Sn4 0.8750 0.8888 0.5138  4 Sn 2.93-3.09, 2 Hf 3.18, 2 Br 3.22
Br1 0.2500 0.7500 0.5000  4 Hf 3.01, 4 Sn 3.22
Br2 0.5000 0.5000 0.0000  4 Hf 3.01, 4 Sn 3.22

Values from the calculation:
volume: 204.6 Å³/cell


--- b ---
VASP calculation (GGA-PBE) on a relaxed HfSn2Br crystal.

Cell lengths 5.2445, 5.2445, 5.2445 Å; angles 60.00, 60.00, 60.00 degrees
With the nearest neighbours (Å) after each atom.
Element x y z (fractional)
Hf1 0.0000 0.0000 0.0000  8 Sn 3.21
Sn1 0.2500 0.2500 0.2500  4 Hf 3.21, 4 Br 3.21
Sn2 0.7500 0.7500 0.7500  4 Hf 3.21, 4 Br 3.21
Br1 0.5000 0.5000 0.5000  8 Sn 3.21

Values from the calculation:
volume: 102.0 Å³/cell


a has the most favorable energy; the next structure is 7.8 kJ/mol of atoms above.


--- a ---
VASP calculation (GGA-PBE) on a relaxed HfSnBr2 crystal.

Cell lengths 5.0652, 5.0652, 5.0652 Å; angles 60.00, 60.00, 60.00 degrees
With the nearest neighbours (Å) after each atom.
Element x y z (fractional)
Hf1 0.0000 0.0000 0.0000  8 Br 3.10
Sn1 0.5000 0.5000 0.5000  8 Br 3.10
Br1 0.2500 0.2500 0.2500  4 Hf 3.10, 4 Sn 3.10
Br2 0.7500 0.7500 0.7500  4 Hf 3.10, 4 Sn 3.10

Values from the calculation:
volume: 91.9 Å³/cell


--- b ---
VASP calculation (GGA-PBE) on a relaxed HfSnBr2 crystal.

Cell lengths 7.1691, 7.1691, 7.1691 Å; angles 99.44, 99.44, 132.22 degrees
With the nearest neighbours (Å) after each atom.
Element x y z (fractional)
Hf1 0.0000 0.0000 0.0000  4 Br 2.69, 2 Sn 2.90
Hf2 0.7500 0.2500 0.5000  4 Br 2.69, 2 Sn 2.90
Sn1 0.2500 0.7500 0.5000  2 Hf 2.90
Sn2 0.5000 0.5000 0.0000  2 Hf 2.90
Br1 0.0000 0.6250 0.8750  2 Hf 2.69
Br2 0.3750 0.2500 0.3750  2 Hf 2.69
Br3 0.7500 0.1250 0.1250  2 Hf 2.69
Br4 0.8750 0.0000 0.6250  2 Hf 2.69

Values from the calculation:
volume: 249.5 Å³/cell


--- c ---
VASP calculation (GGA-PBE) on a relaxed HfSnBr2 crystal.

Cell lengths 12.1639, 12.1639, 12.1639 Å; angles 15.90, 15.90, 15.90 degrees
With the nearest neighbours (Å) after each atom.
Element x y z (fractional)
Hf1 0.0000 0.0000 0.0000  6 Br 2.75
Sn1 0.5000 0.5000 0.5000  6 Sn 3.36
Br1 0.3873 0.3873 0.3873  3 Hf 2.75
Br2 0.6127 0.6127 0.6127  3 Hf 2.75

Values from the calculation:
volume: 117.7 Å³/cell


c has the most favorable energy; the next structure is 33.3 kJ/mol of atoms above.


--- a ---
VASP calculation (GGA-PBE) on a relaxed Hf2SnBr crystal.

Cell lengths 10.6619, 10.6619, 10.6619 Å; angles 156.29, 156.29, 33.78 degrees
With the nearest neighbours (Å) after each atom.
Element x y z (fractional)
Hf1 0.1181 0.6250 0.9931  2 Sn 2.97, 2 Br 3.00, 4 Hf 3.06-3.14
Hf2 0.3750 0.3681 0.4931  2 Sn 2.97, 2 Br 3.00, 4 Hf 3.06-3.14
Hf3 0.6319 0.1250 0.0069  2 Sn 2.97, 2 Br 3.00, 4 Hf 3.06-3.14
Hf4 0.8750 0.8819 0.5069  2 Sn 2.97, 2 Br 3.00, 4 Hf 3.06-3.14
Sn1 0.0000 0.0000 0.0000  4 Hf 2.97, 4 Br 3.10
Sn2 0.7500 0.2500 0.5000  4 Hf 2.97, 4 Br 3.10
Br1 0.2500 0.7500 0.5000  4 Hf 3.00, 4 Sn 3.10
Br2 0.5000 0.5000 0.0000  4 Hf 3.00, 4 Sn 3.10

Values from the calculation:
volume: 195.8 Å³/cell


--- b ---
VASP calculation (GGA-PBE) on a relaxed Hf2SnBr crystal.

Cell lengths 4.9525, 4.9525, 4.9525 Å; angles 60.00, 60.00, 60.00 degrees
With the nearest neighbours (Å) after each atom.
Element x y z (fractional)
Hf1 0.2500 0.2500 0.2500  4 Br 3.03, 4 Sn 3.03
Hf2 0.7500 0.7500 0.7500  4 Sn 3.03, 4 Br 3.03
Sn1 0.0000 0.0000 0.0000  8 Hf 3.03
Br1 0.5000 0.5000 0.5000  8 Hf 3.03

Values from the calculation:
volume: 85.9 Å³/cell


b has the most favorable energy; the next structure is 45.9 kJ/mol of atoms above.


--- a ---
VASP calculation (GGA-PBE) on a relaxed HfSnBr6 crystal.

Cell lengths 7.3763, 7.3763, 6.9935 Å; angles 97.95, 97.95, 123.23 degrees
With the nearest neighbours (Å) after each atom.
Element x y z (fractional)
Hf1 0.0000 0.0000 0.0000  6 Br 2.61-2.64
Sn1 0.5000 0.5000 0.5000  6 Br 2.97-3.01
Br1 0.0762 0.3643 0.2254  1 Hf 2.64
Br2 0.2365 0.2365 0.7721  1 Hf 2.61
Br3 0.3643 0.0762 0.2254  1 Hf 2.64
Br4 0.6357 0.9238 0.7746  1 Hf 2.64
Br5 0.7635 0.7635 0.2279  1 Hf 2.61
Br6 0.9238 0.6357 0.7746  1 Hf 2.64

Values from the calculation:
volume: 304.5 Å³/cell


--- b ---
VASP calculation (GGA-PBE) on a relaxed HfSnBr6 crystal.

Cell lengths 7.5432, 7.5432, 7.5432 Å; angles 55.47, 55.47, 55.47 degrees
With the nearest neighbours (Å) after each atom.
Element x y z (fractional)
Hf1 0.0000 0.0000 0.0000  6 Br 2.63
Sn1 0.5000 0.5000 0.5000  6 Br 3.02
Br1 0.0655 0.7776 0.3923  1 Hf 2.63
Br2 0.2224 0.6077 0.9345  1 Hf 2.63
Br3 0.3923 0.0655 0.7776  1 Hf 2.63
Br4 0.6077 0.9345 0.2224  1 Hf 2.63
Br5 0.7776 0.3923 0.0655  1 Hf 2.63
Br6 0.9345 0.2224 0.6077  1 Hf 2.63

Values from the calculation:
volume: 271.5 Å³/cell


a has the most favorable energy; the next structure is 1.5 kJ/mol of atoms above.


--- a ---
VASP calculation (GGA-PBE) on a relaxed SrHf2Br crystal.

Cell lengths 10.6821, 10.6821, 10.6821 Å; angles 151.93, 151.93, 40.11 degrees
With the nearest neighbours (Å) after each atom.
Element x y z (fractional)
Sr1 0.0000 0.0000 0.0000  4 Br 3.66, 8 Hf 3.69-3.97
Sr2 0.7500 0.2500 0.5000  4 Br 3.66, 8 Hf 3.69-3.97
Hf1 0.3349 0.6250 0.2099  2 Hf 2.62, 2 Br 2.83
Hf2 0.3750 0.5849 0.7099  2 Hf 2.62, 2 Br 2.83
Hf3 0.4151 0.1250 0.7901  2 Hf 2.62, 2 Br 2.83
Hf4 0.8750 0.6651 0.2901  2 Hf 2.62, 2 Br 2.83
Br1 0.2500 0.7500 0.5000  4 Hf 2.83
Br2 0.5000 0.5000 0.0000  4 Hf 2.83

Values from the calculation:
volume: 269.3 Å³/cell


--- b ---
VASP calculation (GGA-PBE) on a relaxed SrHf2Br crystal.

Cell lengths 5.3162, 5.3162, 5.3162 Å; angles 60.00, 60.00, 60.00 degrees
With the nearest neighbours (Å) after each atom.
Element x y z (fractional)
Sr1 0.0000 0.0000 0.0000  8 Hf 3.26
Hf1 0.2500 0.2500 0.2500  4 Br 3.26, 4 Sr 3.26
Hf2 0.7500 0.7500 0.7500  4 Br 3.26, 4 Sr 3.26
Br1 0.5000 0.5000 0.5000  8 Hf 3.26

Values from the calculation:
volume: 106.2 Å³/cell


a has the most favorable energy; the next structure is 27.3 kJ/mol of atoms above.


--- a ---
VASP calculation (GGA-PBE) on a relaxed HfTa3Br crystal.

Cell lengths 4.7274, 4.7274, 4.7274 Å; angles 90.00, 90.00, 90.00 degrees
With the nearest neighbours (Å) after each atom.
Element x y z (fractional)
Hf1 0.0000 0.0000 0.0000  12 Ta 3.34
Ta1 0.0000 0.5000 0.5000  2 Br 2.36
Ta2 0.5000 0.0000 0.5000  2 Br 2.36
Ta3 0.5000 0.5000 0.0000  2 Br 2.36
Br1 0.5000 0.5000 0.5000  6 Ta 2.36

Values from the calculation:
volume: 105.7 Å³/cell


--- b ---
VASP calculation (GGA-PBE) on a relaxed HfTa3Br crystal.

Cell lengths 5.0175, 5.0175, 5.0175 Å; angles 90.00, 90.00, 90.00 degrees
With the nearest neighbours (Å) after each atom.
Element x y z (fractional)
Hf1 0.0000 0.0000 0.0000  6 Ta 2.51
Ta1 0.0000 0.0000 0.5000  2 Hf 2.51
Ta2 0.0000 0.5000 0.0000  2 Hf 2.51
Ta3 0.5000 0.0000 0.0000  2 Hf 2.51
Br1 0.5000 0.5000 0.5000  12 Ta 3.55

Values from the calculation:
volume: 126.3 Å³/cell


a has the most favorable energy; the next structure is 85.9 kJ/mol of atoms above.